1.
# PBE ZrTe2Au, optimized geometry
# total magnetic moment	0.0	μB per formula unit
# volume	200	Å³/cell
# excess energy over the best structure of this formula in the dataset	0	meV per atom
# density of states at the Fermi level	1.045	states/eV/f.u.
# uncorrected energy	-41.0	eV for the cell shown
data_ZrTe2Au
_chemical_formula_sum 'Zr2 Te4 Au2'
_space_group_name_H-M_alt 'A m m 2'
_space_group_IT_number 38
_cell_length_a 4.137
_cell_length_b 3.975
_cell_length_c 12.190
_cell_angle_alpha 90.00
_cell_angle_beta 90.00
_cell_angle_gamma 90.00
loop_
_space_group_symop_operation_xyz
'x,y,z'
'-x,-y,z'
'-x,y,z'
'x,-y,z'
'x,y+1/2,z+1/2'
'-x,-y+1/2,z+1/2'
'-x,y+1/2,z+1/2'
'x,-y+1/2,z+1/2'
loop_
_atom_site_label
_atom_site_type_symbol
_atom_site_fract_x
_atom_site_fract_y
_atom_site_fract_z
_atom_site_occupancy
Zr1 Zr 0.000 0.000 0.000 1
Te1 Te 0.000 0.000 0.683 1
Te2 Te 0.500 0.000 0.410 1
Au1 Au 0.500 0.000 0.170 1

=====

2.
# PBE ZrTe2Au, optimized geometry
# total magnetic moment	0.0	μB per formula unit
# volume	460	Å³/cell
# excess energy over the best structure of this formula in the dataset	120	meV per atom
# density of states at the Fermi level	1.758	states/eV/f.u.
# uncorrected energy	-80.1	eV for the cell shown
data_ZrTe2Au
_chemical_formula_sum 'Zr4 Te8 Au4'
_space_group_name_H-M_alt 'C 1 2/c 1'
_space_group_IT_number 15
_cell_length_a 17.654
_cell_length_b 3.964
_cell_length_c 6.762
_cell_angle_alpha 90.00
_cell_angle_beta 103.41
_cell_angle_gamma 90.00
loop_
_space_group_symop_operation_xyz
'x,y,z'
'-x,-y,-z'
'-x,y,-z+1/2'
'x,-y,z+1/2'
'x+1/2,y+1/2,z'
'-x+1/2,-y+1/2,-z'
'-x+1/2,y+1/2,-z+1/2'
'x+1/2,-y+1/2,z+1/2'
loop_
_atom_site_label
_atom_site_type_symbol
_atom_site_fract_x
_atom_site_fract_y
_atom_site_fract_z
_atom_site_occupancy
Zr1 Zr 0.250 0.250 0.000 1
Te1 Te 0.144 0.247 0.603 1
Au1 Au 0.000 0.000 0.000 1

=====

3.
# PBE ZrTeAu2, optimized geometry
# total magnetic moment	0.0	μB per formula unit
# volume	84	Å³/cell
# density of states at the Fermi level	2.270	states/eV/f.u.
# uncorrected energy	-19.3	eV for the cell shown
data_ZrTeAu2
_chemical_formula_sum 'Zr1 Te1 Au2'
_space_group_name_H-M_alt 'P m m m'
_space_group_IT_number 47
_cell_length_a 4.168
_cell_length_b 4.188
_cell_length_c 4.789
_cell_angle_alpha 90.00
_cell_angle_beta 90.00
_cell_angle_gamma 90.00
loop_
_space_group_symop_operation_xyz
'x,y,z'
'-x,-y,-z'
'-x,-y,z'
'x,y,-z'
'x,-y,-z'
'-x,y,z'
'-x,y,-z'
'x,-y,z'
loop_
_atom_site_label
_atom_site_type_symbol
_atom_site_fract_x
_atom_site_fract_y
_atom_site_fract_z
_atom_site_occupancy
Zr1 Zr 0.000 0.000 0.000 1
Te1 Te 0.500 0.500 0.000 1
Au1 Au 0.000 0.500 0.500 1
Au2 Au 0.500 0.000 0.500 1

=====

What did the first record say?
# PBE ZrTe2Au, optimized geometry
# total magnetic moment	0.0	μB per formula unit
# volume	200	Å³/cell
# excess energy over the best structure of this formula in the dataset	0	meV per atom
# density of states at the Fermi level	1.045	states/eV/f.u.
# uncorrected energy	-41.0	eV for the cell shown
data_ZrTe2Au
_chemical_formula_sum 'Zr2 Te4 Au2'
_space_group_name_H-M_alt 'A m m 2'
_space_group_IT_number 38
_cell_length_a 4.137
_cell_length_b 3.975
_cell_length_c 12.190
_cell_angle_alpha 90.00
_cell_angle_beta 90.00
_cell_angle_gamma 90.00
loop_
_space_group_symop_operation_xyz
'x,y,z'
'-x,-y,z'
'-x,y,z'
'x,-y,z'
'x,y+1/2,z+1/2'
'-x,-y+1/2,z+1/2'
'-x,y+1/2,z+1/2'
'x,-y+1/2,z+1/2'
loop_
_atom_site_label
_atom_site_type_symbol
_atom_site_fract_x
_atom_site_fract_y
_atom_site_fract_z
_atom_site_occupancy
Zr1 Zr 0.000 0.000 0.000 1
Te1 Te 0.000 0.000 0.683 1
Te2 Te 0.500 0.000 0.410 1
Au1 Au 0.500 0.000 0.170 1

=====

> Which of these has the highest density of states at the Fermi level?

ZrTeAu2

=====

> What is the formula in the third record?

ZrTeAu2